i:
MnTeMoN2, optimized geometry, DFT PBE; D(E_F) = 1.8 states/eV/cell; V = 88.6 Å³/cell; mass density = 5.74 g/cm³
1.0
3.9321 0.0000 0.0000
0.0000 3.9321 0.0000
0.0000 0.0000 5.7318
Mn Te Mo N
1 1 1 2
direct
0.0000 0.0000 0.0000
0.5000 0.5000 0.0000
0.5000 0.5000 0.5000
0.0000 0.5000 0.5000
0.5000 0.0000 0.5000

---

ii:
MnTeMoN2, optimized geometry, DFT PBE; D(E_F) = 2.8 states/eV/cell; V = 76.8 Å³/cell; mass density = 6.63 g/cm³
1.0
3.7812 0.0000 0.0000
0.0000 3.7812 0.0000
0.0000 0.0000 5.3717
Mn Te Mo N
1 1 1 2
direct
0.0000 0.0000 0.0000
0.0000 0.0000 0.5000
0.5000 0.5000 0.5000
0.0000 0.5000 0.0000
0.5000 0.0000 0.0000

---

Best to worst by energy: i, ii.

---

i:
MnTe2MoN, optimized geometry, DFT PBE; D(E_F) = 3.0 states/eV/cell; V = 113.3 Å³/cell; mass density = 6.16 g/cm³
1.0
5.4606 0.0000 0.0000
0.0000 5.4606 0.0000
0.0000 0.0000 3.7983
Mn Te Mo N
1 2 1 1
direct
0.0000 0.0000 0.0000
0.0000 0.5000 0.5000
0.5000 0.0000 0.5000
0.5000 0.5000 0.5000
0.5000 0.5000 0.0000

---

ii:
MnTe2MoN, optimized geometry, DFT PBE; D(E_F) = 3.1 states/eV/cell; V = 96.6 Å³/cell; mass density = 7.22 g/cm³
1.0
5.2890 0.0000 0.0000
0.0000 5.2890 0.0000
0.0000 0.0000 3.4529
Mn Te Mo N
1 2 1 1
direct
0.0000 0.0000 0.0000
0.0000 0.5000 0.0000
0.5000 0.0000 0.0000
0.5000 0.5000 0.5000
0.0000 0.0000 0.5000

---

Best to worst by energy: i, ii.

---

i:
Mn2MoWN, optimized geometry, DFT PBE; D(E_F) = 4.0 states/eV/cell; V = 59.9 Å³/cell; mass density = 11.18 g/cm³
1.0
3.8360 0.0000 0.0000
0.0000 3.8360 0.0000
0.0000 0.0000 4.0727
Mn Mo W N
2 1 1 1
direct
0.0000 0.5000 0.0000
0.5000 0.0000 0.0000
0.0000 0.0000 0.5000
0.5000 0.5000 0.5000
0.5000 0.5000 0.0000

---

ii:
Mn2MoWN, optimized geometry, DFT PBE; D(E_F) = 3.9 states/eV/cell; V = 59.7 Å³/cell; mass density = 11.23 g/cm³
1.0
3.8263 0.0000 0.0000
0.0000 3.8263 0.0000
0.0000 0.0000 4.0756
Mn Mo W N
2 1 1 1
direct
0.0000 0.5000 0.0000
0.5000 0.0000 0.0000
0.0000 0.0000 0.5000
0.5000 0.5000 0.5000
0.0000 0.0000 0.0000

---

Best to worst by energy: ii, i.

---

i:
Na2MnMo, optimized geometry, DFT PBE; D(E_F) = 6.9 states/eV/cell; V = 165.8 Å³/cell; mass density = 3.94 g/cm³
1.0
-4.0870 4.0870 2.4817
4.0870 -4.0870 2.4817
4.0870 4.0870 -2.4817
Na Mn Mo
4 2 2
direct
0.1044 0.6250 0.9794
0.3750 0.3544 0.4794
0.6456 0.1250 0.0206
0.8750 0.8956 0.5206
0.0000 0.0000 0.0000
0.7500 0.2500 0.5000
0.2500 0.7500 0.5000
0.5000 0.5000 0.0000

---

ii:
Na2MnMo, optimized geometry, DFT PBE; D(E_F) = 9.3 states/eV/cell; V = 70.9 Å³/cell; mass density = 4.61 g/cm³
1.0
0.0000 3.2843 3.2843
3.2843 0.0000 3.2843
3.2843 3.2843 0.0000
Na Mn Mo
2 1 1
direct
0.2500 0.2500 0.2500
0.7500 0.7500 0.7500
0.0000 0.0000 0.0000
0.5000 0.5000 0.5000

---

Best to worst by energy: i, ii.